Record 1
The following is a DFT calculation (PBE) of a relaxed CaTa2O6 crystal.

Lattice parameters (Å, degrees): 7.855 7.855 7.855 90.00 90.00 90.00
Space group Pm-3 (No. 200)
One atom of each set of equivalent atoms:
1 Ca 0.000 0.000 0.000 [1 per cell]
2 Ca 0.000 0.500 0.500 [3 per cell]
3 Ta 0.251 0.251 0.251 [8 per cell]
4 O 0.000 0.273 0.224 [12 per cell]
5 O 0.218 0.289 0.500 [12 per cell]

Calculated values
Its crystal system is cubic. The uncorrected formation energy is -26.52 eV per formula unit.

Record 2
The following is a DFT calculation (PBE) of a relaxed LaNb2AlW crystal.

Lattice parameters (Å, degrees): 4.741 4.741 5.341 90.00 90.00 90.00
Space group P4/mmm (No. 123)
One atom of each set of equivalent atoms:
1 La 0.000 0.000 0.000 [1 per cell]
2 Nb 0.000 0.500 0.500 [2 per cell]
3 Al 0.000 0.000 0.500 [1 per cell]
4 W 0.500 0.500 0.000 [1 per cell]

Calculated values
Its crystal system is tetragonal.

Record 3
The following is a DFT calculation (PBE) of a relaxed Li4CdRu crystal.

Lattice parameters (Å, degrees): 7.008 7.008 7.008 90.00 90.00 90.00
Space group F-43m (No. 216)
One atom of each set of equivalent atoms:
1 Li 0.123 0.123 0.123 [16 per cell]
2 Cd 0.000 0.000 0.500 [4 per cell]
3 Ru 0.250 0.250 0.750 [4 per cell]

Calculated values
Its crystal system is cubic.

Record 4
The following is a DFT calculation (PBE) of a relaxed UFe2TcP2 crystal.

Lattice parameters (Å, degrees): 3.9412 3.9412 6.1179 90.00 90.00 120.00
Space group P-3m1 (No. 164)
One atom of each set of equivalent atoms:
1 U 0.0000 0.0000 0.0000 [1 per cell]
2 Fe 0.3333 0.6667 0.7211 [2 per cell]
3 Tc 0.0000 0.0000 0.5000 [1 per cell]
4 P 0.3333 0.6667 0.3058 [2 per cell]

Calculated values
Its crystal system is trigonal.

Record 5
The following is a DFT calculation (PBE) of a relaxed CeNd6 crystal.

Lattice parameters (Å, degrees): 8.278 8.278 8.278 90.00 90.00 90.00
Space group Im-3m (No. 229)
One atom of each set of equivalent atoms:
1 Ce 0.000 0.000 0.000 [2 per cell]
2 Nd 0.000 0.250 0.500 [12 per cell]

Calculated values
Its crystal system is cubic.

Record 6
The following is a DFT calculation (PBE) of a relaxed Ho2Er2Zn crystal.

Lattice parameters (Å, degrees): 3.519 3.519 22.150 90.00 90.00 90.00
Space group I4/mmm (No. 139)
One atom of each set of equivalent atoms:
1 Ho 0.000 0.000 0.195 [4 per cell]
2 Er 0.000 0.000 0.420 [4 per cell]
3 Zn 0.000 0.000 0.000 [2 per cell]

Calculated values
Its energy above the lowest structure with this stoichiometry is 0.000 eV/atom. Its crystal system is tetragonal.

Number 1: magnetization 0.0000 μB per atom, electronic total energy -327.9 eV/cell. Number 2: magnetization 0.0000 μB per atom, electronic total energy -33.8 eV/cell. Number 3: magnetization 0.0000 μB per atom, electronic total energy -67.2 eV/cell. Number 4: magnetization 0.0005 μB per atom, electronic total energy -52.4 eV/cell. Number 5: magnetization 0.1889 μB per atom, electronic total energy -52.4 eV/cell. Number 6: magnetization 0.0001 μB per atom, electronic total energy -40.3 eV/cell.